Entry 1:
A geometry-optimized ZrAg4Sb structure. Source: the Alexandria database, functional PBE.

abc: 7.8655 7.8655 7.8655
angles: 90.00 90.00 90.00
Space group F-43m (No. 216)
Unique sites:
Zr: 0.0000 0.0000 0.0000 [4 per cell]
Ag: 0.1254 0.1254 0.6254 [16 per cell]
Sb: 0.2500 0.2500 0.2500 [4 per cell]

Properties
Raw formation energy = 0.73 eV per formula unit
D(E_F) = 0.83 states/eV/atom

Entry 2:
A geometry-optimized ZrAgSb structure. Source: the Alexandria database, functional PBE.

abc: 3.1586 4.0323 10.2142
angles: 90.00 90.00 90.00
Space group Imm2 (No. 44)
Unique sites:
Zr: 0.0000 0.0000 0.0000 [2 per cell]
Ag: 0.0000 0.0000 0.6583 [2 per cell]
Sb: 0.0000 0.0000 0.3240 [2 per cell]

Properties
Raw formation energy = -0.50 eV per formula unit
D(E_F) = 0.32 states/eV/atom

Entry 3:
A geometry-optimized Zr2AgSb2 structure. Source: the Alexandria database, functional PBE.

abc: 4.1649 4.1649 14.3747
angles: 90.00 90.00 90.00
Space group I4/mmm (No. 139)
Unique sites:
Zr: 0.0000 0.0000 0.0995 [4 per cell]
Ag: 0.0000 0.0000 0.5000 [2 per cell]
Sb: 0.0000 0.5000 0.2500 [4 per cell]

Properties
Raw formation energy = 0.25 eV per formula unit
Energy above the most stable polymorph in this dataset = 436 meV/atom
D(E_F) = 1.05 states/eV/atom

Entry 4:
A geometry-optimized ZrAgSb4 structure. Source: the Alexandria database, functional PBE.

abc: 8.6172 8.6172 8.6172
angles: 90.00 90.00 90.00
Space group F-43m (No. 216)
Unique sites:
Zr: 0.0000 0.0000 0.0000 [4 per cell]
Ag: 0.2500 0.2500 0.7500 [4 per cell]
Sb: 0.1249 0.1249 0.3751 [16 per cell]

Properties
Raw formation energy = 2.52 eV per formula unit
D(E_F) = 0.88 states/eV/atom

Entry 5:
A geometry-optimized ZrAgSb structure. Source: the Alexandria database, functional PBE.

abc: 3.2129 3.2129 7.5856
angles: 90.00 90.00 120.00
Space group P3m1 (No. 156)
Unique sites:
Zr: 0.0000 0.0000 0.0000 [1 per cell]
Ag: 0.6667 0.3333 0.3157 [1 per cell]
Sb: 0.3333 0.6667 0.6700 [1 per cell]

Properties
Raw formation energy = -0.13 eV per formula unit
D(E_F) = 0.81 states/eV/atom

Entry 6:
A geometry-optimized Sc4Ag structure. Source: the Alexandria database, functional PBE.

abc: 5.1807 5.1807 5.1807
angles: 90.00 90.00 90.00
Space group Pm-3m (No. 221)
Unique sites:
Sc: 0.0000 0.0000 0.0000 [1 per cell]
Sc: 0.0000 0.5000 0.5000 [3 per cell]
Ag: 0.5000 0.5000 0.5000 [1 per cell]

Properties
Formation energy from the elements = 0.41 eV/atom
Energy above the most stable polymorph in this dataset = 478 meV/atom
D(E_F) = 1.91 states/eV/atom

Entry 7:
A geometry-optimized Sc2Ag structure. Source: the Alexandria database, functional PBE.

abc: 6.8144 6.8144 5.8345
angles: 90.00 90.00 90.00
Space group I4/mcm (No. 140)
Unique sites:
Sc: 0.1627 0.3373 0.0000 [8 per cell]
Ag: 0.0000 0.0000 0.2500 [4 per cell]

Properties
Formation energy from the elements = -0.09 eV/atom
D(E_F) = 1.57 states/eV/atom

Entry 8:
A geometry-optimized Sc2Ag structure. Source: the Alexandria database, functional PBE.

abc: 3.2510 3.2510 7.2826
angles: 90.00 90.00 120.00
Space group P-3m1 (No. 164)
Unique sites:
Sc: 0.3333 0.6667 0.3215 [2 per cell]
Ag: 0.0000 0.0000 0.0000 [1 per cell]

Properties
Formation energy from the elements = 0.00 eV/atom
D(E_F) = 1.37 states/eV/atom

Entry 9:
A geometry-optimized Sc5Ag24 structure. Source: the Alexandria database, functional PBE.

abc: 10.2996 10.2996 10.2996
angles: 90.00 90.00 90.00
Space group I-43m (No. 217)
Unique sites:
Sc: 0.0000 0.0000 0.0000 [2 per cell]
Sc: 0.1844 0.1844 0.1844 [8 per cell]
Ag: 0.0432 0.3615 0.6385 [24 per cell]
Ag: 0.0924 0.0924 0.7181 [24 per cell]

Properties
Formation energy from the elements = -0.07 eV/atom
D(E_F) = 0.57 states/eV/atom

Entry 10:
A geometry-optimized Sc2Ag structure. Source: the Alexandria database, functional PBE.

abc: 4.8525 4.8525 3.1406
angles: 90.00 90.00 90.00
Space group P4/mmm (No. 123)
Unique sites:
Sc: 0.0000 0.5000 0.0000 [2 per cell]
Ag: 0.0000 0.0000 0.5000 [1 per cell]

Properties
Formation energy from the elements = 0.13 eV/atom
D(E_F) = 1.39 states/eV/atom

Entry 11:
A geometry-optimized Sc4Ag structure. Source: the Alexandria database, functional PBE.

abc: 11.3171 3.4314 7.8333
angles: 90.00 131.16 90.00
Space group C2/m (No. 12)
Unique sites:
Sc: 0.0763 0.0000 0.3701 [4 per cell]
Sc: 0.2333 0.5000 0.8191 [4 per cell]
Ag: 0.0000 0.5000 0.0000 [2 per cell]

Properties
Formation energy from the elements = -0.07 eV/atom
Energy above the most stable polymorph in this dataset = 0 meV/atom
D(E_F) = 1.44 states/eV/atom

Entry 12:
A geometry-optimized Sc3Ag5 structure. Source: the Alexandria database, functional PBE.

abc: 5.5213 15.2276 7.7662
angles: 90.00 102.17 90.00
Space group Cm (No. 8)
Unique sites:
Sc: 0.0000 0.0000 0.0000 [2 per cell]
Sc: 0.0675 0.5000 0.6077 [2 per cell]
Sc: 0.2944 0.3318 0.3219 [4 per cell]
Sc: 0.3724 0.2777 0.9209 [4 per cell]
Ag: 0.0024 0.4060 0.9248 [4 per cell]
Ag: 0.0434 0.1044 0.6789 [4 per cell]
Ag: 0.0535 0.5000 0.2412 [2 per cell]
Ag: 0.0751 0.0000 0.3785 [2 per cell]
Ag: 0.2537 0.1530 0.2065 [4 per cell]
Ag: 0.4700 0.1948 0.5876 [4 per cell]

Properties
Formation energy from the elements = -0.13 eV/atom
Energy above the most stable polymorph in this dataset = 58 meV/atom
D(E_F) = 0.88 states/eV/atom

V, respectively: 121.7, 65.0, 124.7, 160.0, 67.8, 139.0, 67.7, 66.7, 546.3, 74.0, 114.5, 159.6 Å³/f.u..